Here is an optimized crystal structure of PrEr2Tm6 from Alexandria via LeMat-Bulk. Energies are from PBE-GGA.

mass density = 7.93 Mg/m³
calculated formation energy = 3.6 eV per formula unit
total energy = -4.13 eV/atom
excess energy over the best structure of this formula in the dataset = 0.246 eV per atom

a = 6.8435 Å, b = 6.8435 Å, c = 8.6417 Å
α = 66.67°, β = 66.67°, γ = 60.00°
Closest atoms and distances in Å follow each position.
Positions (direct):
Er 0.5807 0.5807 0.2580  9 Tm 3.47-3.67, 1 Er 3.85
Tm 0.2816 0.7727 0.6634  1 Pr 3.21, 6 Tm 3.23-3.49, 2 Er 3.50
Er 0.7475 0.7475 0.7575  9 Tm 3.50-3.80, 1 Er 3.85
Pr 0.3344 0.3344 0.9969  6 Tm 3.21-3.27
Tm 0.0531 0.0537 0.3334  6 Tm 3.23-3.47, 1 Pr 3.27, 2 Er 3.47
Tm 0.5598 0.0531 0.3334  6 Tm 3.23-3.47, 1 Pr 3.27, 2 Er 3.47
Tm 0.0537 0.5598 0.3334  6 Tm 3.23-3.47, 1 Pr 3.27, 2 Er 3.47
Tm 0.2823 0.2816 0.6634  1 Pr 3.21, 6 Tm 3.23-3.49, 2 Er 3.50
Tm 0.7727 0.2823 0.6634  1 Pr 3.21, 6 Tm 3.23-3.49, 2 Er 3.50